Entry 1:
MgZnP after structural relaxation. Source: Alexandria, functional PBE-GGA.

Unit cell a=5.9142 b=5.9142 c=5.9142 alpha=149.92 beta=149.92 gamma=43.06
Fractional positions:
Mg 0.0111 0.0111 0.0000
Zn 0.3196 0.3196 0.0000
P 0.6693 0.6693 0.0000

formation energy: 0.072 eV/atom

Entry 2:
Mg4ZnP after structural relaxation. Source: Alexandria, functional PBE-GGA.

Unit cell a=5.6466 b=5.6466 c=5.6466 alpha=60.00 beta=60.00 gamma=60.00
Fractional positions:
Mg 0.3756 0.8733 0.3756
Mg 0.8733 0.3756 0.3756
Mg 0.3756 0.3756 0.8733
Zn 0.0000 0.0000 0.0000
P 0.7500 0.7500 0.7500
Mg 0.3756 0.3756 0.3756

formation energy: 0.287 eV/atom

Entry 3:
Mg2ZnP after structural relaxation. Source: Alexandria, functional PBE-GGA.

Unit cell a=3.7007 b=3.7007 c=5.4179 alpha=90.00 beta=90.00 gamma=90.01
Fractional positions:
Mg 0.0000 0.0000 0.9651
P 0.0000 0.0000 0.4659
Mg 0.5000 0.5000 0.2944
Zn 0.5000 0.5000 0.7746

formation energy: -0.056 eV/atom